Entry 1:
First-principles (GGA-PBE) data for a geometry-optimized La2TiZnPd structure, as listed in Alexandria.

Computed properties:
N(E_F) = 6.7 states/eV/f.u.
V = 30.043 Å³ per atom
Total energy = -22.13 eV per cell
E_form = 0.418 eV/atom
SG = No. 123

```
La2TiZnPd
1.0
5.612 0.000 0.000
0.000 4.770 0.000
0.000 0.000 5.612
La Pd Zn Ti
2 1 1 1
direct
0.000 0.000 0.500
0.500 0.000 0.000
0.500 0.500 0.500
0.000 0.000 0.000
0.000 0.500 0.000
```

***

Entry 2:
First-principles (GGA-PBE) data for a geometry-optimized VTeAsBr2 structure, as listed in Alexandria.

Computed properties:
N(E_F) = 5.0 states/eV/f.u.
V = 24.559 Å³ per atom
E above lowest polymorph = 0.0 meV per atom
Raw formation energy = 68 kJ/mol of formula units
Total energy = -19.55 eV per cell
SG = No. 123

```
VTeAsBr2
1.0
4.754 0.000 0.000
0.000 4.754 0.000
0.000 0.000 5.433
V Br Te As
1 2 1 1
direct
0.000 0.000 0.000
0.500 0.000 0.000
0.000 0.500 0.000
0.500 0.500 0.500
0.000 0.000 0.500
```

***

Entry 3:
First-principles (GGA-PBE) data for a geometry-optimized GaGe2Te2 structure, as listed in Alexandria.

Computed properties:
N(E_F) = 1.8 states/eV/f.u.
V = 25.534 Å³ per atom
E above lowest polymorph = 0.0 meV per atom
Raw formation energy = 59 kJ/mol of formula units
Total energy = -35.86 eV per cell
SG = No. 127

```
GaGe2Te2
1.0
7.920 0.000 0.000
0.000 7.920 0.000
0.000 0.000 4.071
Ga Ge Te
2 4 4
direct
0.000 0.000 0.000
0.500 0.500 0.000
0.650 0.150 0.000
0.350 0.850 0.000
0.850 0.650 0.000
0.150 0.350 0.000
0.829 0.329 0.500
0.171 0.671 0.500
0.671 0.829 0.500
0.329 0.171 0.500
```